[1]
{
  "formula": "LiAlRh2",
  "functional": "GGA-PBE",
  "state": "relaxed",
  "lattice_angstrom": [[4.1912, 0.0000, 0.0000], [0.0000, 4.1912, 0.0000], [0.0000, 0.0000, 2.9701]],
  "species": ["Li", "Al", "Rh", "Rh"],
  "fractional_positions": [[0.0000, 0.0000, 0.0000], [0.5000, 0.5000, 0.0000], [0.0000, 0.5000, 0.5000], [0.5000, 0.0000, 0.5000]],
  "dos_at_fermi_per_ev_cell": 4.2,
  "final_energy_ev_per_cell": -22.854,
  "formation_enthalpy_0k_mev_per_atom": -624
}



[2]
{
  "formula": "ZrSiP2Cl",
  "functional": "GGA-PBE",
  "state": "relaxed",
  "lattice_angstrom": [[5.0882, 0.0000, 0.0000], [0.0000, 5.0882, 0.0000], [0.0000, 0.0000, 4.8796]],
  "species": ["Zr", "Si", "P", "P", "Cl"],
  "fractional_positions": [[0.0000, 0.0000, 0.0000], [0.5000, 0.5000, 0.5000], [0.0000, 0.5000, 0.0000], [0.5000, 0.0000, 0.0000], [0.0000, 0.0000, 0.5000]],
  "dos_at_fermi_per_ev_cell": 3.1,
  "final_energy_ev_per_cell": -25.307,
  "formation_energy_uncorrected_ev_per_atom": 0.266,
  "e_above_lowest_polymorph_mev_per_atom": 93.1
}



[3]
{
  "formula": "MgSc2Tc",
  "functional": "GGA-PBE",
  "state": "relaxed",
  "lattice_angstrom": [[1.5813, 0.9130, 9.5781], [-1.5813, 0.9130, 9.5781], [0.0000, -1.8259, 9.5781]],
  "species": ["Mg", "Sc", "Sc", "Tc"],
  "fractional_positions": [[0.0000, 0.0000, 0.0000], [0.5266, 0.5266, 0.5266], [0.7604, 0.7604, 0.7604], [0.2599, 0.2599, 0.2599]],
  "dos_at_fermi_per_ev_cell": 4.0,
  "final_energy_ev_per_cell": -23.929,
  "formation_enthalpy_0k_mev_per_atom": 174
}



[4]
{
  "formula": "PaZnCuAg",
  "functional": "GGA-PBE",
  "state": "relaxed",
  "lattice_angstrom": [[0.0000, 3.3360, 3.3360], [3.3360, 0.0000, 3.3360], [3.3360, 3.3360, 0.0000]],
  "species": ["Pa", "Zn", "Cu", "Ag"],
  "fractional_positions": [[0.0000, 0.0000, 0.0000], [0.2500, 0.2500, 0.2500], [0.7500, 0.7500, 0.7500], [0.5000, 0.5000, 0.5000]],
  "dos_at_fermi_per_ev_cell": 3.1,
  "final_energy_ev_per_cell": -17.372,
  "formation_enthalpy_0k_mev_per_atom": 86
}



[5]
{
  "formula": "CrInNiS4",
  "functional": "GGA-PBE",
  "state": "relaxed",
  "lattice_angstrom": [[-3.5456, 3.6361, 5.0834], [3.5456, -3.6361, 5.0834], [3.5456, 3.6361, -5.0834]],
  "species": ["Cr", "Cr", "In", "In", "Ni", "Ni", "S", "S", "S", "S", "S", "S", "S", "S"],
  "fractional_positions": [[0.5000, 0.0000, 0.0000], [0.5000, 0.5000, 0.5000], [0.0000, 0.0000, 0.0000], [0.5000, 0.0000, 0.5000], [0.1212, 0.3712, 0.7500], [0.8788, 0.6288, 0.2500], [0.2631, 0.2715, 0.5084], [0.2625, 0.7408, 0.5217], [0.2631, 0.7548, 0.9916], [0.2809, 0.2592, 0.0217], [0.7191, 0.7408, 0.9783], [0.7369, 0.2452, 0.0084], [0.7375, 0.2592, 0.4783], [0.7369, 0.7285, 0.4916]],
  "dos_at_fermi_per_ev_cell": 7.9,
  "final_energy_ev_per_cell": -75.917,
  "formation_energy_uncorrected_ev_per_atom": -0.472
}



[6]
{
  "formula": "PmBi4Pd15",
  "functional": "GGA-PBE",
  "state": "relaxed",
  "lattice_angstrom": [[4.1597, 0.0000, 0.0000], [0.0000, 4.1597, 0.0000], [0.0000, 0.0000, 20.6298]],
  "species": ["Pm", "Bi", "Bi", "Bi", "Bi", "Pd", "Pd", "Pd", "Pd", "Pd", "Pd", "Pd", "Pd", "Pd", "Pd", "Pd", "Pd", "Pd", "Pd", "Pd"],
  "fractional_positions": [[0.0000, 0.0000, 0.0000], [0.0000, 0.0000, 0.2000], [0.0000, 0.0000, 0.4002], [0.0000, 0.0000, 0.5998], [0.0000, 0.0000, 0.8000], [0.0000, 0.5000, 0.1024], [0.0000, 0.5000, 0.3008], [0.0000, 0.5000, 0.5000], [0.0000, 0.5000, 0.6992], [0.0000, 0.5000, 0.8976], [0.5000, 0.0000, 0.1024], [0.5000, 0.0000, 0.3008], [0.5000, 0.0000, 0.5000], [0.5000, 0.0000, 0.6992], [0.5000, 0.0000, 0.8976], [0.5000, 0.5000, 0.0000], [0.5000, 0.5000, 0.2036], [0.5000, 0.5000, 0.4003], [0.5000, 0.5000, 0.5997], [0.5000, 0.5000, 0.7964]],
  "dos_at_fermi_per_ev_cell": 10.1,
  "final_energy_ev_per_cell": -105.041,
  "formation_enthalpy_0k_mev_per_atom": -344
}



[7]
{
  "formula": "K2AsP2",
  "functional": "GGA-PBE",
  "state": "relaxed",
  "lattice_angstrom": [[9.7322, 0.0000, 0.0000], [0.0000, 9.7322, 0.0000], [0.0000, 0.0000, 2.7666]],
  "species": ["K", "K", "K", "K", "As", "As", "P", "P", "P", "P"],
  "fractional_positions": [[0.2111, 0.2889, 0.0000], [0.2889, 0.7889, 0.0000], [0.7111, 0.2111, 0.0000], [0.7889, 0.7111, 0.0000], [0.0000, 0.0000, 0.0000], [0.5000, 0.5000, 0.0000], [0.0763, 0.5763, 0.5000], [0.4237, 0.0763, 0.5000], [0.5763, 0.9237, 0.5000], [0.9237, 0.4237, 0.5000]],
  "dos_at_fermi_per_ev_cell": 5.1,
  "final_energy_ev_per_cell": -34.970,
  "formation_enthalpy_0k_mev_per_atom": 36,
  "e_above_lowest_polymorph_mev_per_atom": 222.4
}



[8]
{
  "formula": "AgP2Cl",
  "functional": "GGA-PBE",
  "state": "relaxed",
  "lattice_angstrom": [[6.4755, -1.6659, 0.0000], [6.4755, 1.6659, 0.0000], [-0.0321, 0.0000, 4.3668]],
  "species": ["Ag", "P", "P", "Cl"],
  "fractional_positions": [[0.0000, 0.0000, 0.0000], [0.1988, 0.1988, 0.0045], [0.8012, 0.8012, 0.9955], [0.5000, 0.5000, 0.5000]],
  "dos_at_fermi_per_ev_cell": 1.3,
  "final_energy_ev_per_cell": -15.624,
  "formation_energy_uncorrected_ev_per_atom": -0.027,
  "e_above_lowest_polymorph_mev_per_atom": 90.9
}



[9]
{
  "formula": "LiSc2Pd",
  "functional": "GGA-PBE",
  "state": "relaxed",
  "lattice_angstrom": [[-3.7614, 3.7614, 2.9536], [3.7614, -3.7614, 2.9536], [3.7614, 3.7614, -2.9536]],
  "species": ["Li", "Li", "Sc", "Sc", "Sc", "Sc", "Pd", "Pd"],
  "fractional_positions": [[0.0000, 0.0000, 0.0000], [0.7500, 0.2500, 0.5000], [0.1546, 0.1250, 0.5296], [0.3750, 0.8454, 0.9704], [0.5954, 0.6250, 0.4704], [0.8750, 0.4046, 0.0296], [0.2500, 0.7500, 0.5000], [0.5000, 0.5000, 0.0000]],
  "dos_at_fermi_per_ev_cell": 6.9,
  "final_energy_ev_per_cell": -40.340,
  "formation_enthalpy_0k_mev_per_atom": -100
}



[10]
{
  "formula": "SiPdI2",
  "functional": "GGA-PBE",
  "state": "relaxed",
  "lattice_angstrom": [[0.0000, 3.6427, 3.6427], [3.6427, 0.0000, 3.6427], [3.6427, 3.6427, 0.0000]],
  "species": ["Si", "Pd", "I", "I"],
  "fractional_positions": [[0.0000, 0.0000, 0.0000], [0.5000, 0.5000, 0.5000], [0.2500, 0.2500, 0.2500], [0.7500, 0.7500, 0.7500]],
  "dos_at_fermi_per_ev_cell": 1.1,
  "final_energy_ev_per_cell": -11.756,
  "formation_energy_uncorrected_ev_per_atom": 0.490,
  "e_above_lowest_polymorph_mev_per_atom": 125.2
}



[11]
{
  "formula": "Tc2Hg2Os",
  "functional": "GGA-PBE",
  "state": "relaxed",
  "lattice_angstrom": [[7.8319, 0.0000, 0.0000], [0.0000, 7.8319, 0.0000], [0.0000, 0.0000, 2.9625]],
  "species": ["Tc", "Tc", "Tc", "Tc", "Hg", "Hg", "Hg", "Hg", "Os", "Os"],
  "fractional_positions": [[0.1033, 0.3967, 0.0000], [0.3967, 0.8967, 0.0000], [0.6033, 0.1033, 0.0000], [0.8967, 0.6033, 0.0000], [0.1896, 0.6896, 0.5000], [0.3104, 0.1896, 0.5000], [0.6896, 0.8104, 0.5000], [0.8104, 0.3104, 0.5000], [0.0000, 0.0000, 0.5000], [0.5000, 0.5000, 0.5000]],
  "dos_at_fermi_per_ev_cell": 13.8,
  "final_energy_ev_per_cell": -52.862,
  "formation_enthalpy_0k_mev_per_atom": 1227,
  "e_above_lowest_polymorph_mev_per_atom": 29.5
}



[12]
{
  "formula": "VCrCo6",
  "functional": "GGA-PBE",
  "state": "relaxed",
  "lattice_angstrom": [[3.1173, 1.7997, 3.0272], [-3.1173, 1.7997, 3.0272], [0.0000, -3.5995, 3.0272]],
  "species": ["V", "Cr", "Co", "Co", "Co", "Co", "Co", "Co"],
  "fractional_positions": [[0.0000, 0.0000, 0.0000], [0.5000, 0.5000, 0.5000], [0.0306, 0.6539, 0.6539], [0.3461, 0.3461, 0.9694], [0.3461, 0.9694, 0.3461], [0.6539, 0.0306, 0.6539], [0.6539, 0.6539, 0.0306], [0.9694, 0.3461, 0.3461]],
  "dos_at_fermi_per_ev_cell": 9.2,
  "final_energy_ev_per_cell": -56.414,
  "formation_enthalpy_0k_mev_per_atom": 620,
  "e_above_lowest_polymorph_mev_per_atom": 687.0
}



Ordered total moment results: 0.00, 0.00, 0.87, 0.00, 1.03, 0.00, 0.00, 0.00, 1.02, 0.00, 0.00, 4.48; unit μB/f.u..